Run a
Here is a geometry-optimized Li2TiV2O6 structure from Alexandria. Energies are from PBEsol.

a b c (Å): 4.985 4.985 10.075
angles (deg): 90.00 90.00 119.44
Fractional positions:
Li (0.148, 0.648, 0.250)
Li (0.352, 0.852, 0.750)
Li (0.648, 0.148, 0.250)
Li (0.852, 0.352, 0.750)
Ti (0.500, 0.500, 0.000)
Ti (0.000, 0.000, 0.500)
V (0.157, 0.843, 0.000)
V (0.657, 0.343, 0.500)
V (0.343, 0.657, 0.500)
V (0.843, 0.157, 0.000)
O (0.671, 0.671, 0.392)
O (0.829, 0.829, 0.892)
O (0.171, 0.171, 0.108)
O (0.329, 0.329, 0.608)
O (0.167, 0.508, 0.892)
O (0.833, 0.492, 0.108)
O (0.008, 0.667, 0.608)
O (0.333, 0.992, 0.392)
O (0.492, 0.833, 0.108)
O (0.667, 0.008, 0.608)
O (0.992, 0.333, 0.392)
O (0.508, 0.167, 0.892)

Total magnetic moment: 3.8 μB/f.u.
SG: No. 64

---

Run b
Here is a geometry-optimized Li2TiV2O6 structure from Alexandria. Energies are from PBEsol.

a b c (Å): 2.841 5.856 6.749
angles (deg): 109.01 102.15 90.00
Fractional positions:
Li (0.351, 0.687, 0.702)
Li (0.649, 0.313, 0.298)
Ti (0.000, 0.500, 0.000)
V (0.678, 0.864, 0.355)
V (0.322, 0.136, 0.645)
O (0.159, 0.605, 0.318)
O (0.841, 0.395, 0.682)
O (0.489, 0.270, 0.979)
O (0.511, 0.730, 0.021)
O (0.832, 0.915, 0.664)
O (0.168, 0.085, 0.336)

Total magnetic moment: 0.4 μB/f.u.
SG: No. 12

---

Of all the structures shown, which is most stable? run b, and run a is the least stable.